No. 1
DFT (GGA-PBE) results for a relaxed GePt9 crystal.

The structure in CIF format:
```
data_GePt9
_chemical_formula_sum 'Ge2 Pt18'
_cell_length_a 2.823
_cell_length_b 2.823
_cell_length_c 52.350
_cell_angle_alpha 90.00
_cell_angle_beta 90.00
_cell_angle_gamma 90.00
_symmetry_space_group_name_H-M 'P 4/n m m'
_symmetry_Int_Tables_number 129
loop_
_symmetry_equiv_pos_as_xyz
'x,y,z'
'-x,-y,-z'
'-y+1/2,x,z'
'y+1/2,-x,-z'
'-x+1/2,-y+1/2,z'
'x+1/2,y+1/2,-z'
'y,-x+1/2,z'
'-y,x+1/2,-z'
'x+1/2,-y,-z'
'-x+1/2,y,z'
'-y,-x,-z'
'y,x,z'
'-x,y+1/2,-z'
'x,-y+1/2,z'
'y+1/2,x+1/2,-z'
'-y+1/2,-x+1/2,z'
loop_
_atom_site_label
_atom_site_type_symbol
_atom_site_fract_x
_atom_site_fract_y
_atom_site_fract_z
Ge1 Ge 0.250 0.250 0.144
Pt1 Pt 0.250 0.250 0.218
Pt2 Pt 0.250 0.250 0.294
Pt3 Pt 0.250 0.250 0.369
Pt4 Pt 0.250 0.250 0.444
Pt5 Pt 0.250 0.250 0.519
Pt6 Pt 0.250 0.250 0.594
Pt7 Pt 0.250 0.250 0.669
Pt8 Pt 0.250 0.250 0.744
Pt9 Pt 0.250 0.250 0.822
```

## Properties
* total magnetic moment: 0.0 Bohr magnetons per cell
* crystal system: tetragonal
* relative energy among the computed polymorphs: 0.018 eV/atom
* E: -5.92 eV per atom

No. 2
DFT (GGA-PBE) results for a relaxed HoNiC2 crystal.

The structure in CIF format:
```
data_HoNiC2
_chemical_formula_sum 'Ho2 Ni2 C4'
_cell_length_a 3.548
_cell_length_b 4.508
_cell_length_c 6.018
_cell_angle_alpha 90.00
_cell_angle_beta 90.00
_cell_angle_gamma 90.00
_symmetry_space_group_name_H-M 'A m m 2'
_symmetry_Int_Tables_number 38
loop_
_symmetry_equiv_pos_as_xyz
'x,y,z'
'-x,-y,z'
'-x,y,z'
'x,-y,z'
'x,y+1/2,z+1/2'
'-x,-y+1/2,z+1/2'
'-x,y+1/2,z+1/2'
'x,-y+1/2,z+1/2'
loop_
_atom_site_label
_atom_site_type_symbol
_atom_site_fract_x
_atom_site_fract_y
_atom_site_fract_z
Ho1 Ho 0.000 0.000 0.000
Ni1 Ni 0.500 0.000 0.388
C1 C 0.500 0.152 0.699
```

## Properties
* total magnetic moment: 0.0 Bohr magnetons per cell
* crystal system: orthorhombic
* E: -7.48 eV per atom

No. 3
DFT (GGA-PBE) results for a relaxed AcNpGa crystal.

The structure in CIF format:
```
data_AcNpGa
_chemical_formula_sum 'Ac4 Np4 Ga4'
_cell_length_a 7.255
_cell_length_b 7.255
_cell_length_c 7.255
_cell_angle_alpha 90.00
_cell_angle_beta 90.00
_cell_angle_gamma 90.00
_symmetry_space_group_name_H-M 'F -4 3 m'
_symmetry_Int_Tables_number 216
_symmetry_space_group_name_Hall 'F -4 2 3'
loop_
_atom_site_label
_atom_site_type_symbol
_atom_site_fract_x
_atom_site_fract_y
_atom_site_fract_z
Ac1 Ac 0.000 0.000 0.000
Np1 Np 0.250 0.250 0.250
Ga1 Ga 0.250 0.250 0.750
```

## Properties
* total magnetic moment: 20.0 Bohr magnetons per cell
* crystal system: cubic
* relative energy among the computed polymorphs: 0.485 eV/atom
* E: -5.82 eV per atom

No. 4
DFT (GGA-PBE) results for a relaxed PrSm2GdTl2 crystal.

The structure in CIF format:
```
data_PrSm2GdTl2
_chemical_formula_sum 'Pr1 Sm2 Gd1 Tl2'
_cell_length_a 5.5170
_cell_length_b 5.5170
_cell_length_c 6.8591
_cell_angle_alpha 90.00
_cell_angle_beta 90.00
_cell_angle_gamma 120.00
_symmetry_space_group_name_H-M 'P -6 m 2'
_symmetry_Int_Tables_number 187
_symmetry_space_group_name_Hall 'P -6 2'
loop_
_atom_site_label
_atom_site_type_symbol
_atom_site_fract_x
_atom_site_fract_y
_atom_site_fract_z
Pr1 Pr 0.0000 0.0000 0.0000
Sm1 Sm 0.6667 0.3333 0.2595
Gd1 Gd 0.3333 0.6667 0.5000
Tl1 Tl 0.0000 0.0000 0.5000
Tl2 Tl 0.3333 0.6667 0.0000
```

## Properties
* total magnetic moment: 1.7 Bohr magnetons per cell
* crystal system: hexagonal
* E: -4.20 eV per atom

No. 5
DFT (GGA-PBE) results for a relaxed DyFeAu crystal.

The structure in CIF format:
```
data_DyFeAu
_chemical_formula_sum 'Dy4 Fe4 Au4'
_cell_length_a 6.321
_cell_length_b 6.321
_cell_length_c 6.321
_cell_angle_alpha 90.00
_cell_angle_beta 90.00
_cell_angle_gamma 90.00
_symmetry_space_group_name_H-M 'F -4 3 m'
_symmetry_Int_Tables_number 216
_symmetry_space_group_name_Hall 'F -4 2 3'
loop_
_atom_site_label
_atom_site_type_symbol
_atom_site_fract_x
_atom_site_fract_y
_atom_site_fract_z
Dy1 Dy 0.000 0.000 0.000
Fe1 Fe 0.250 0.250 0.750
Au1 Au 0.000 0.000 0.500
```

## Properties
* total magnetic moment: 8.4 Bohr magnetons per cell
* crystal system: cubic
* E: -5.35 eV per atom

No. 6
DFT (GGA-PBE) results for a relaxed AlZn crystal.

The structure in CIF format:
```
data_AlZn
_chemical_formula_sum 'Al4 Zn4'
_cell_length_a 4.876
_cell_length_b 4.696
_cell_length_c 5.565
_cell_angle_alpha 90.00
_cell_angle_beta 90.00
_cell_angle_gamma 90.00
_symmetry_space_group_name_H-M 'P n m a'
_symmetry_Int_Tables_number 62
loop_
_symmetry_equiv_pos_as_xyz
'x,y,z'
'-x,-y,-z'
'-x+1/2,-y,z+1/2'
'x+1/2,y,-z+1/2'
'x+1/2,-y+1/2,-z+1/2'
'-x+1/2,y+1/2,z+1/2'
'-x,y+1/2,-z'
'x,-y+1/2,z'
loop_
_atom_site_label
_atom_site_type_symbol
_atom_site_fract_x
_atom_site_fract_y
_atom_site_fract_z
Al1 Al 0.090 0.250 0.125
Zn1 Zn 0.088 0.250 0.625
```

## Properties
* crystal system: orthorhombic
* E: -2.43 eV per atom

No. 7
DFT (GGA-PBE) results for a relaxed LiPrSc crystal.

The structure in CIF format:
```
data_LiPrSc
_chemical_formula_sum 'Li4 Pr4 Sc4'
_cell_length_a 6.962
_cell_length_b 6.962
_cell_length_c 6.962
_cell_angle_alpha 90.00
_cell_angle_beta 90.00
_cell_angle_gamma 90.00
_symmetry_space_group_name_H-M 'F -4 3 m'
_symmetry_Int_Tables_number 216
_symmetry_space_group_name_Hall 'F -4 2 3'
loop_
_atom_site_label
_atom_site_type_symbol
_atom_site_fract_x
_atom_site_fract_y
_atom_site_fract_z
Li1 Li 0.000 0.000 0.000
Pr1 Pr 0.250 0.250 0.750
Sc1 Sc 0.250 0.250 0.250
```

## Properties
* total magnetic moment: 0.3 Bohr magnetons per cell
* crystal system: cubic
* relative energy among the computed polymorphs: 0.000 eV/atom
* E: -3.82 eV per atom

No. 8
DFT (GGA-PBE) results for a relaxed TbSnTe3Au crystal.

The structure in CIF format:
```
data_TbSnTe3Au
_chemical_formula_sum 'Tb2 Sn2 Te6 Au2'
_cell_length_a 8.269
_cell_length_b 4.316
_cell_length_c 10.738
_cell_angle_alpha 90.00
_cell_angle_beta 107.34
_cell_angle_gamma 90.00
_symmetry_space_group_name_H-M 'P 1 21/m 1'
_symmetry_Int_Tables_number 11
loop_
_symmetry_equiv_pos_as_xyz
'x,y,z'
'-x,-y,-z'
'-x,y+1/2,-z'
'x,-y+1/2,z'
loop_
_atom_site_label
_atom_site_type_symbol
_atom_site_fract_x
_atom_site_fract_y
_atom_site_fract_z
Tb1 Tb 0.202 0.250 0.180
Sn1 Sn 0.216 0.750 0.706
Te1 Te 0.085 0.250 0.873
Te2 Te 0.202 0.250 0.470
Te3 Te 0.461 0.750 0.170
Au1 Au 0.389 0.750 0.404
```

## Properties
* total magnetic moment: 0.0 Bohr magnetons per cell
* crystal system: monoclinic
* relative energy among the computed polymorphs: 0.006 eV/atom
* E: -4.21 eV per atom

No. 9
DFT (GGA-PBE) results for a relaxed ZrAgSn crystal.

The structure in CIF format:
```
data_ZrAgSn
_chemical_formula_sum 'Zr4 Ag4 Sn4'
_cell_length_a 6.519
_cell_length_b 6.519
_cell_length_c 6.519
_cell_angle_alpha 90.00
_cell_angle_beta 90.00
_cell_angle_gamma 90.00
_symmetry_space_group_name_H-M 'F -4 3 m'
_symmetry_Int_Tables_number 216
_symmetry_space_group_name_Hall 'F -4 2 3'
loop_
_atom_site_label
_atom_site_type_symbol
_atom_site_fract_x
_atom_site_fract_y
_atom_site_fract_z
Zr1 Zr 0.000 0.000 0.000
Ag1 Ag 0.250 0.250 0.750
Sn1 Sn 0.000 0.000 0.500
```

## Properties
* total magnetic moment: 0.0 Bohr magnetons per cell
* crystal system: cubic
* E: -5.20 eV per atom

No. 10
DFT (GGA-PBE) results for a relaxed Pm3BeSb crystal.

The structure in CIF format:
```
data_Pm3BeSb
_chemical_formula_sum 'Pm3 Be1 Sb1'
_cell_length_a 5.256
_cell_length_b 5.256
_cell_length_c 5.256
_cell_angle_alpha 90.00
_cell_angle_beta 90.00
_cell_angle_gamma 90.00
_symmetry_space_group_name_H-M 'P m -3 m'
_symmetry_Int_Tables_number 221
_symmetry_space_group_name_Hall '-P 4 2 3'
loop_
_atom_site_label
_atom_site_type_symbol
_atom_site_fract_x
_atom_site_fract_y
_atom_site_fract_z
Pm1 Pm 0.000 0.000 0.500
Be1 Be 0.000 0.000 0.000
Sb1 Sb 0.500 0.500 0.500
```

## Properties
* total magnetic moment: 0.0 Bohr magnetons per cell
* crystal system: cubic
* E: -4.60 eV per atom

No. 11
DFT (GGA-PBE) results for a relaxed SiTcNiHg crystal.

The structure in CIF format:
```
data_SiTcNiHg
_chemical_formula_sum 'Si4 Tc4 Ni4 Hg4'
_cell_length_a 6.168
_cell_length_b 6.168
_cell_length_c 6.168
_cell_angle_alpha 90.00
_cell_angle_beta 90.00
_cell_angle_gamma 90.00
_symmetry_space_group_name_H-M 'F -4 3 m'
_symmetry_Int_Tables_number 216
_symmetry_space_group_name_Hall 'F -4 2 3'
loop_
_atom_site_label
_atom_site_type_symbol
_atom_site_fract_x
_atom_site_fract_y
_atom_site_fract_z
Si1 Si 0.000 0.000 0.000
Tc1 Tc 0.250 0.250 0.750
Ni1 Ni 0.250 0.250 0.250
Hg1 Hg 0.000 0.000 0.500
```

## Properties
* total magnetic moment: 0.0 Bohr magnetons per cell
* crystal system: cubic
* relative energy among the computed polymorphs: 0.000 eV/atom
* E: -5.14 eV per atom

No. 12
DFT (GGA-PBE) results for a relaxed MgAlCu2 crystal.

The structure in CIF format:
```
data_MgAlCu2
_chemical_formula_sum 'Mg4 Al4 Cu8'
_cell_length_a 6.087
_cell_length_b 6.087
_cell_length_c 6.087
_cell_angle_alpha 90.00
_cell_angle_beta 90.00
_cell_angle_gamma 90.00
_symmetry_space_group_name_H-M 'P m -3 m'
_symmetry_Int_Tables_number 221
_symmetry_space_group_name_Hall '-P 4 2 3'
loop_
_atom_site_label
_atom_site_type_symbol
_atom_site_fract_x
_atom_site_fract_y
_atom_site_fract_z
Mg1 Mg 0.000 0.000 0.000
Mg2 Mg 0.000 0.000 0.500
Al1 Al 0.000 0.500 0.500
Al2 Al 0.500 0.500 0.500
Cu1 Cu 0.261 0.261 0.261
```

## Properties
* crystal system: cubic
* E: -3.36 eV per atom